This record from the Alexandria database describes SiTe2Mo at its PBEsol-relaxed geometry. The functional is meta-GGA SCAN.

Values from the calculation:
Its total energy is -117.01 eV per formula unit. As for the density of states at the Fermi level: 1.47 states/eV per cell. For the formation energy from raw total energies, the calculation gives 598 meV/atom. As for the symmetry: I4/mmm (139).

a b c (Å): 4.8910 4.8910 4.8910
angles (deg): 107.21 110.62 110.62
Positions (direct):
Mo (0.0000, 0.5000, 0.5000)
Si (0.0000, 0.0000, 0.0000)
Te (0.5000, 0.5000, 0.0000)
Te (0.5000, 0.0000, 0.5000)


This record from the Alexandria database describes SiTeMo2 at its PBEsol-relaxed geometry. The functional is meta-GGA SCAN.

Values from the calculation:
Its total energy is -116.03 eV per formula unit. As for the density of states at the Fermi level: 2.53 states/eV per cell. The excess energy over the best structure of this formula in the dataset comes out at 13 meV/atom. For the formation energy from raw total energies, the calculation gives 252 meV/atom. As for the symmetry: P2/m (10).

a b c (Å): 3.1765 3.4333 6.0793
angles (deg): 90.00 99.15 90.00
Positions (direct):
Mo (0.1069, 0.0000, 0.7742)
Mo (0.8931, 0.0000, 0.2258)
Si (0.5000, 0.5000, 0.0000)
Te (0.5000, 0.5000, 0.5000)


This record from the Alexandria database describes Si2TeMo at its PBEsol-relaxed geometry. The functional is meta-GGA SCAN.

Values from the calculation:
Its total energy is -91.04 eV per formula unit. As for the density of states at the Fermi level: 1.55 states/eV per cell. For the formation energy from raw total energies, the calculation gives 281 meV/atom. As for the symmetry: Cm (8).

a b c (Å): 3.2918 4.4730 5.4012
angles (deg): 95.39 90.00 111.59
Positions (direct):
Mo (0.7516, 0.5032, 0.1700)
Si (0.0241, 0.0482, 0.0320)
Si (0.2635, 0.5270, 0.8284)
Te (0.4608, 0.9216, 0.4696)